Re2WSe: relaxed, PBE.

Lattice parameters (Å, degrees): 3.0122 3.0122 6.7710 90.00 90.00 90.00
Closest atoms and distances in Å follow each position.
Fractional coordinates of all 4 atoms:
Re: 0.0000 0.0000 0.2431  4 Se 2.69, 4 W 2.75, 4 Re 3.01
Re: 0.0000 0.0000 0.7569  4 Se 2.69, 4 W 2.75, 4 Re 3.01
W: 0.5000 0.5000 0.5000  8 Re 2.75, 4 W 3.01
Se: 0.5000 0.5000 0.0000  8 Re 2.69, 4 Se 3.01

- SG = P4/mmm, No. 123
- E_form (uncorrected) (meV per atom) = 324

PrNdHo: relaxed, PBE.

Lattice parameters (Å, degrees): 6.9574 6.9574 9.9926 120.10 120.10 29.96
Closest atoms and distances in Å follow each position.
Fractional coordinates of all 6 atoms:
Pr: 0.1392 0.1392 0.0204  3 Ho 3.46-3.57, 5 Pr 3.55-3.68, 2 Nd 3.87
Pr: 0.8608 0.8608 0.9796  3 Ho 3.46-3.57, 5 Pr 3.55-3.68, 2 Nd 3.87
Nd: 0.3885 0.3885 0.6578  5 Ho 3.57-3.63, 4 Nd 3.60-3.85, 4 Pr 3.87-3.88
Nd: 0.6115 0.6115 0.3422  5 Ho 3.57-3.63, 4 Nd 3.60-3.85, 4 Pr 3.87-3.88
Ho: 0.1260 0.1260 0.6653  3 Ho 3.28-3.60, 3 Pr 3.46-3.57, 5 Nd 3.57-3.63
Ho: 0.8740 0.8740 0.3347  3 Ho 3.28-3.60, 3 Pr 3.46-3.57, 5 Nd 3.57-3.63

- SG = C2/m, No. 12
- DFT formation energy (eV/atom) = 0.038

NpSbPt5: relaxed, PBE.

Lattice parameters (Å, degrees): 8.8396 5.5357 10.7006 90.00 90.00 90.00
Closest atoms and distances in Å follow each position.
Fractional coordinates of all 28 atoms:
Np: 0.2454 0.2500 0.0468  6 Pt 2.91-3.16, 1 Sb 3.25
Np: 0.2546 0.7500 0.5468  6 Pt 2.91-3.16, 1 Sb 3.25
Np: 0.7454 0.2500 0.4532  6 Pt 2.91-3.16, 1 Sb 3.25
Np: 0.7546 0.7500 0.9532  6 Pt 2.91-3.16, 1 Sb 3.25
Sb: 0.1553 0.2500 0.3412  7 Pt 2.56-2.84
Sb: 0.3447 0.7500 0.8412  7 Pt 2.56-2.84
Sb: 0.6553 0.2500 0.1588  7 Pt 2.56-2.84
Sb: 0.8447 0.7500 0.6588  7 Pt 2.56-2.84
Pt: 0.0693 0.5058 0.7982  7 Pt 2.69-2.83, 2 Sb 2.82-2.83
Pt: 0.0693 0.9942 0.7982  7 Pt 2.69-2.83, 2 Sb 2.82-2.83
Pt: 0.0853 0.2500 0.5729  1 Sb 2.56, 3 Pt 2.75-2.80
Pt: 0.0895 0.7500 0.0221  6 Pt 2.76-2.93, 1 Sb 2.97, 1 Np 3.05
Pt: 0.1730 0.7500 0.2838  6 Pt 2.69-2.90, 2 Sb 2.84, 1 Np 2.91
Pt: 0.3270 0.2500 0.7838  6 Pt 2.69-2.90, 2 Sb 2.84, 1 Np 2.91
Pt: 0.4105 0.2500 0.5221  6 Pt 2.76-2.93, 1 Sb 2.97, 1 Np 3.05
Pt: 0.4147 0.7500 0.0729  1 Sb 2.56, 3 Pt 2.75-2.80
Pt: 0.4307 0.0058 0.2982  7 Pt 2.69-2.83, 2 Sb 2.82-2.83
Pt: 0.4307 0.4942 0.2982  7 Pt 2.69-2.83, 2 Sb 2.82-2.83
Pt: 0.5693 0.5058 0.7018  7 Pt 2.69-2.83, 2 Sb 2.82-2.83
Pt: 0.5693 0.9942 0.7018  7 Pt 2.69-2.83, 2 Sb 2.82-2.83
Pt: 0.5853 0.2500 0.9271  1 Sb 2.56, 3 Pt 2.75-2.80
Pt: 0.5895 0.7500 0.4779  6 Pt 2.76-2.93, 1 Sb 2.97, 1 Np 3.05
Pt: 0.6730 0.7500 0.2162  6 Pt 2.69-2.90, 2 Sb 2.84, 1 Np 2.91
Pt: 0.8270 0.2500 0.7162  6 Pt 2.69-2.90, 2 Sb 2.84, 1 Np 2.91
Pt: 0.9105 0.2500 0.9779  6 Pt 2.76-2.93, 1 Sb 2.97, 1 Np 3.05
Pt: 0.9147 0.7500 0.4271  1 Sb 2.56, 3 Pt 2.75-2.80
Pt: 0.9307 0.0058 0.2018  7 Pt 2.69-2.83, 2 Sb 2.82-2.83
Pt: 0.9307 0.4942 0.2018  7 Pt 2.69-2.83, 2 Sb 2.82-2.83

- SG = Pnma, No. 62
- E_form (uncorrected) (meV per atom) = -391

Pm3Ge4Pt4: relaxed, PBE.

Lattice parameters (Å, degrees): 13.0037 13.0037 13.0037 161.73 160.79 26.63
Closest atoms and distances in Å follow each position.
Fractional coordinates of all 11 atoms:
Pm: 0.0000 0.0000 0.0000  4 Pt 3.18, 8 Ge 3.25
Pm: 0.3540 0.8540 0.5000  6 Ge 3.20-3.22, 8 Pt 3.25-3.38
Pm: 0.6460 0.1460 0.5000  6 Ge 3.20-3.22, 8 Pt 3.25-3.38
Ge: 0.1930 0.6930 0.5000  5 Pt 2.46-2.62
Ge: 0.4506 0.4506 0.0000  2 Pt 2.47, 1 Ge 2.50
Ge: 0.5494 0.5494 0.0000  2 Pt 2.47, 1 Ge 2.50
Ge: 0.8070 0.3070 0.5000  5 Pt 2.46-2.62
Pt: 0.0958 0.5958 0.5000  3 Ge 2.46-2.47
Pt: 0.2486 0.2486 0.0000  4 Ge 2.50-2.62
Pt: 0.7514 0.7514 0.0000  4 Ge 2.50-2.62
Pt: 0.9042 0.4042 0.5000  3 Ge 2.46-2.47

- SG = Immm, No. 71
- DFT formation energy (eV/atom) = -0.992

Mg2TeOs: relaxed, PBE.

Lattice parameters (Å, degrees): 3.1070 3.1070 8.7752 90.00 90.00 90.00
Closest atoms and distances in Å follow each position.
Fractional coordinates of all 4 atoms:
Mg: 0.0000 0.0000 0.1841  4 Os 2.73
Mg: 0.0000 0.0000 0.8159  4 Os 2.73
Te: 0.5000 0.5000 0.5000  4 Te 3.11
Os: 0.5000 0.5000 0.0000  8 Mg 2.73

- SG = P4/mmm, No. 123
- E_form (uncorrected) (meV per atom) = 160

Mg2InSb: relaxed, PBE.

Lattice parameters (Å, degrees): 4.2422 4.4721 5.1354 90.00 90.00 90.00
Closest atoms and distances in Å follow each position.
Fractional coordinates of all 4 atoms:
Mg: 0.0000 0.0000 0.0000  4 Sb 3.08, 4 In 3.33, 4 Mg 3.40
Mg: 0.0000 0.5000 0.5000  4 In 3.08, 4 Sb 3.33, 4 Mg 3.40
In: 0.5000 0.0000 0.5000  8 Mg 3.08-3.33, 4 Sb 3.40
Sb: 0.5000 0.5000 0.0000  8 Mg 3.08-3.33, 4 In 3.40

- SG = Pmmm, No. 47
- E_form (uncorrected) (meV per atom) = -135

Going through the records in order, we get calculated volume values of 15.359 34.407 18.701 20.610 21.178 24.357 Å³ per atom.
Going through the records in order, we get density of states at the Fermi level values of 1.525 9.518 50.935 8.380 2.998 1.248 states/eV/cell.
Going through the records in order, we get size of the total moment values of 0.000 0.000 0.495 0.000 0.038 0.000 μB/atom.